Material: SnBiSe3
Method: DFT, PBE
State: relaxed

Relative energy among the computed polymorphs = 156 meV per atom
Theoretical density = 4.03 g/cm3
Total energy = -3.8573 eV per atom
Space group = No. 38
Fermi-level density of states = 1.16 states/eV per cell
E_form (uncorrected) = -0.19 eV per atom

a b c (Å): 4.1419 7.8064 7.8064
angles (deg): 112.85 90.00 90.00
Last column: nearest neighbours and their distance in Å.
Sites, in units of the cell vectors:
Sn: 0.5000 0.0471 0.9529  4 Se 2.69-2.77
Se: 0.5000 0.3089 0.3154  1 Sn 2.77, 2 Bi 2.87
Se: 0.0000 0.1786 0.8214  2 Sn 2.69, 1 Bi 3.00
Se: 0.5000 0.6846 0.6911  1 Sn 2.77, 2 Bi 2.87
Bi: 0.0000 0.4089 0.5911  5 Se 2.87-3.00